[1]
Computed, not measured: a relaxed Ce2Ga7Ag crystal at the PBE-GGA level of DFT.

Computed properties:
ρ, g/cm3: 7.24
Electronic total energy, eV per atom: -3.9979
Formation energy from the elements, eV/atom: -0.407

Cell and atoms, written as CIF:
```
data_Ce2Ga7Ag
_space_group_name_H-M_alt 'P -4 m 2'
_space_group_IT_number 115
_cell_length_a 4.340
_cell_length_b 4.340
_cell_length_c 10.678
_cell_angle_alpha 90.00
_cell_angle_beta 90.00
_cell_angle_gamma 90.00
loop_
_space_group_symop_operation_xyz
'x,y,z'
'y,-x,-z'
'-x,-y,z'
'-y,x,-z'
'-x,y,z'
'-y,-x,-z'
'x,-y,z'
'y,x,-z'
loop_
_atom_site_label
_atom_site_fract_x
_atom_site_fract_y
_atom_site_fract_z
Ce1 0.000 0.500 0.247
Ga1 0.000 0.000 0.000
Ga2 0.000 0.500 0.637
Ga3 0.000 0.500 0.866
Ga4 0.500 0.500 0.000
Ga5 0.500 0.500 0.500
Ag1 0.000 0.000 0.500
```

---

[2]
Computed, not measured: a relaxed Ta4OsW2 crystal at the PBE-GGA level of DFT.

Computed properties:
ρ, g/cm3: 16.51
Electronic total energy, eV per atom: -11.9837
Formation energy from the elements, eV/atom: 0.094

Cell and atoms, written as CIF:
```
data_Ta4OsW2
_space_group_name_H-M_alt 'I 4/m m m'
_space_group_IT_number 139
_space_group_name_Hall '-I 4 2'
_cell_length_a 6.361
_cell_length_b 6.361
_cell_length_c 6.371
_cell_angle_alpha 90.00
_cell_angle_beta 90.00
_cell_angle_gamma 90.00
loop_
_atom_site_label
_atom_site_fract_x
_atom_site_fract_y
_atom_site_fract_z
Ta1 0.250 0.250 0.250
Os1 0.000 0.000 0.000
W1 0.000 0.500 0.000
```

---

[3]
Computed, not measured: a relaxed NaUGaI6 crystal at the PBE-GGA level of DFT.

Computed properties:
ρ, g/cm3: 4.50
Electronic total energy, eV per atom: -3.5695
Formation energy from raw total energies, meV per atom: -799

Cell and atoms, written as CIF:
```
data_NaUGaI6
_space_group_name_H-M_alt 'P 42 n m'
_space_group_IT_number 102
_cell_length_a 7.592
_cell_length_b 7.592
_cell_length_c 13.998
_cell_angle_alpha 90.00
_cell_angle_beta 90.00
_cell_angle_gamma 90.00
loop_
_space_group_symop_operation_xyz
'x,y,z'
'-y+1/2,x+1/2,z+1/2'
'-x,-y,z'
'y+1/2,-x+1/2,z+1/2'
'-x+1/2,y+1/2,z+1/2'
'y,x,z'
'x+1/2,-y+1/2,z+1/2'
'-y,-x,z'
loop_
_atom_site_label
_atom_site_fract_x
_atom_site_fract_y
_atom_site_fract_z
Na1 0.000 0.000 0.000
U1 0.000 0.000 0.333
Ga1 0.000 0.000 0.666
I1 0.192 0.192 0.491
I2 0.194 0.194 0.177
I3 0.218 0.218 0.836
```

---

[4]
Computed, not measured: a relaxed Li2Sc3Hg4 crystal at the PBE-GGA level of DFT.

Computed properties:
ρ, g/cm3: 8.48
Electronic total energy, eV per atom: -2.9691
Formation energy from the elements, eV/atom: -0.299

Cell and atoms, written as CIF:
```
data_Li2Sc3Hg4
_space_group_name_H-M_alt 'C 1 2/m 1'
_space_group_IT_number 12
_cell_length_a 8.448
_cell_length_b 4.871
_cell_length_c 9.048
_cell_angle_alpha 90.00
_cell_angle_beta 90.09
_cell_angle_gamma 90.00
loop_
_space_group_symop_operation_xyz
'x,y,z'
'-x,-y,-z'
'-x,y,-z'
'x,-y,z'
'x+1/2,y+1/2,z'
'-x+1/2,-y+1/2,-z'
'-x+1/2,y+1/2,-z'
'x+1/2,-y+1/2,z'
loop_
_atom_site_label
_atom_site_fract_x
_atom_site_fract_y
_atom_site_fract_z
Li1 0.167 0.000 0.225
Sc1 0.000 0.500 0.000
Sc2 0.166 0.000 0.586
Hg1 0.000 0.500 0.330
Hg2 0.167 0.000 0.905
```

---

[5]
Computed, not measured: a relaxed AlZnPb2 crystal at the PBE-GGA level of DFT.

Computed properties:
ρ, g/cm3: 8.43
Electronic total energy, eV per atom: -2.8805
Formation energy from the elements, eV/atom: 0.228

Cell and atoms, written as CIF:
```
data_AlZnPb2
_space_group_name_H-M_alt 'P 1 2/m 1'
_space_group_IT_number 10
_cell_length_a 3.479
_cell_length_b 4.165
_cell_length_c 6.959
_cell_angle_alpha 90.00
_cell_angle_beta 98.24
_cell_angle_gamma 90.00
loop_
_space_group_symop_operation_xyz
'x,y,z'
'-x,-y,-z'
'-x,y,-z'
'x,-y,z'
loop_
_atom_site_label
_atom_site_fract_x
_atom_site_fract_y
_atom_site_fract_z
Al1 0.000 0.000 0.000
Zn1 0.000 0.000 0.500
Pb1 0.475 0.500 0.751
```

---

[6]
Computed, not measured: a relaxed La2Ce3PmSe6 crystal at the PBE-GGA level of DFT.

Computed properties:
ρ, g/cm3: 6.75
Electronic total energy, eV per atom: -6.3257
Formation energy from raw total energies, meV per atom: -1883

Cell and atoms, written as CIF:
```
data_La2Ce3PmSe6
_space_group_name_H-M_alt 'C 1 2/m 1'
_space_group_IT_number 12
_cell_length_a 7.330
_cell_length_b 12.705
_cell_length_c 7.372
_cell_angle_alpha 90.00
_cell_angle_beta 109.40
_cell_angle_gamma 90.00
loop_
_space_group_symop_operation_xyz
'x,y,z'
'-x,-y,-z'
'-x,y,-z'
'x,-y,z'
'x+1/2,y+1/2,z'
'-x+1/2,-y+1/2,-z'
'-x+1/2,y+1/2,-z'
'x+1/2,-y+1/2,z'
loop_
_atom_site_label
_atom_site_fract_x
_atom_site_fract_y
_atom_site_fract_z
La1 0.000 0.166 0.000
Ce1 0.000 0.000 0.500
Ce2 0.000 0.332 0.500
Pm1 0.000 0.500 0.000
Se1 0.244 0.500 0.745
Se2 0.249 0.335 0.253
```

---

[7]
Computed, not measured: a relaxed Pr7Dy2Ho3 crystal at the PBE-GGA level of DFT.

Computed properties:
ρ, g/cm3: 7.26
Electronic total energy, eV per atom: -4.6060
Formation energy from the elements, eV/atom: 0.093
ΔE to the lowest computed polymorph, meV per atom: 23.2

Cell and atoms, written as CIF:
```
data_Pr7Dy2Ho3
_space_group_name_H-M_alt 'P 1 2/m 1'
_space_group_IT_number 10
_cell_length_a 5.921
_cell_length_b 3.642
_cell_length_c 19.194
_cell_angle_alpha 90.00
_cell_angle_beta 93.91
_cell_angle_gamma 90.00
loop_
_space_group_symop_operation_xyz
'x,y,z'
'-x,-y,-z'
'-x,y,-z'
'x,-y,z'
loop_
_atom_site_label
_atom_site_fract_x
_atom_site_fract_y
_atom_site_fract_z
Pr1 0.000 0.000 0.000
Pr2 0.176 0.500 0.185
Pr3 0.258 0.500 0.535
Pr4 0.328 0.000 0.854
Dy1 0.295 0.500 0.701
Ho1 0.216 0.000 0.367
Ho2 0.500 0.500 0.000
```

---

[8]
Computed, not measured: a relaxed RbBaAgI4 crystal at the PBE-GGA level of DFT.

Computed properties:
ρ, g/cm3: 4.36
Electronic total energy, eV per atom: -2.9636
Formation energy from raw total energies, meV per atom: -1258

Cell and atoms, written as CIF:
```
data_RbBaAgI4
_space_group_name_H-M_alt 'P 1 21/m 1'
_space_group_IT_number 11
_cell_length_a 7.957
_cell_length_b 8.307
_cell_length_c 10.182
_cell_angle_alpha 90.00
_cell_angle_beta 108.40
_cell_angle_gamma 90.00
loop_
_space_group_symop_operation_xyz
'x,y,z'
'-x,-y,-z'
'-x,y+1/2,-z'
'x,-y+1/2,z'
loop_
_atom_site_label
_atom_site_fract_x
_atom_site_fract_y
_atom_site_fract_z
Rb1 0.231 0.250 0.054
Ba1 0.233 0.250 0.558
Ag1 0.234 0.750 0.317
I1 0.017 0.510 0.729
I2 0.426 0.750 0.128
I3 0.442 0.750 0.600
```

---

[9]
Computed, not measured: a relaxed Al3AsAu crystal at the PBE-GGA level of DFT.

Computed properties:
ρ, g/cm3: 5.19
Electronic total energy, eV per atom: -3.5685
Formation energy from the elements, eV/atom: 0.262
ΔE to the lowest computed polymorph, meV per atom: 0.0

Cell and atoms, written as CIF:
```
data_Al3AsAu
_space_group_name_H-M_alt 'P m -3 m'
_space_group_IT_number 221
_space_group_name_Hall '-P 4 2 3'
_cell_length_a 4.832
_cell_length_b 4.832
_cell_length_c 4.832
_cell_angle_alpha 90.00
_cell_angle_beta 90.00
_cell_angle_gamma 90.00
loop_
_atom_site_label
_atom_site_fract_x
_atom_site_fract_y
_atom_site_fract_z
Al1 0.000 0.000 0.500
As1 0.500 0.500 0.500
Au1 0.000 0.000 0.000
```

---

[10]
Computed, not measured: a relaxed EuYCd2 crystal at the PBE-GGA level of DFT.

Computed properties:
ρ, g/cm3: 6.87
Electronic total energy, eV per atom: -4.9627
Formation energy from the elements, eV/atom: -0.321
ΔE to the lowest computed polymorph, meV per atom: 22.2

Cell and atoms, written as CIF:
```
data_EuYCd2
_space_group_name_H-M_alt 'F m -3 m'
_space_group_IT_number 225
_space_group_name_Hall '-F 4 2 3'
_cell_length_a 7.666
_cell_length_b 7.666
_cell_length_c 7.666
_cell_angle_alpha 90.00
_cell_angle_beta 90.00
_cell_angle_gamma 90.00
loop_
_atom_site_label
_atom_site_fract_x
_atom_site_fract_y
_atom_site_fract_z
Eu1 0.000 0.000 0.000
Y1 0.000 0.000 0.500
Cd1 0.250 0.250 0.250
```

---

[11]
Computed, not measured: a relaxed TaTlCl2 crystal at the PBE-GGA level of DFT.

Computed properties:
ρ, g/cm3: 8.84
Electronic total energy, eV per atom: -4.6192
Formation energy from raw total energies, meV per atom: -141
ΔE to the lowest computed polymorph, meV per atom: 369.8

Cell and atoms, written as CIF:
```
data_TaTlCl2
_space_group_name_H-M_alt 'P 1 2/m 1'
_space_group_IT_number 10
_cell_length_a 3.216
_cell_length_b 4.366
_cell_length_c 6.153
_cell_angle_alpha 90.00
_cell_angle_beta 97.21
_cell_angle_gamma 90.00
loop_
_space_group_symop_operation_xyz
'x,y,z'
'-x,-y,-z'
'-x,y,-z'
'x,-y,z'
loop_
_atom_site_label
_atom_site_fract_x
_atom_site_fract_y
_atom_site_fract_z
Ta1 0.000 0.000 0.000
Tl1 0.500 0.000 0.500
Cl1 0.084 0.500 0.784
```

---

[12]
Computed, not measured: a relaxed RbLi2Tc crystal at the PBE-GGA level of DFT.

Computed properties:
ρ, g/cm3: 2.93
Electronic total energy, eV per atom: -2.6344
Formation energy from the elements, eV/atom: 1.156
ΔE to the lowest computed polymorph, meV per atom: 69.1

Cell and atoms, written as CIF:
```
data_RbLi2Tc
_space_group_name_H-M_alt 'I -4 2 d'
_space_group_IT_number 122
_space_group_name_Hall 'I -4 2bw'
_cell_length_a 8.137
_cell_length_b 8.137
_cell_length_c 6.751
_cell_angle_alpha 90.00
_cell_angle_beta 90.00
_cell_angle_gamma 90.00
loop_
_atom_site_label
_atom_site_fract_x
_atom_site_fract_y
_atom_site_fract_z
Rb1 0.000 0.000 0.000
Li1 0.192 0.250 0.625
Tc1 0.000 0.000 0.500
```

---

> Which value of ρ does entry 12 give?

2.93 g/cm3

---

Copy entry 2 word for word.
Computed, not measured: a relaxed Ta4OsW2 crystal at the PBE-GGA level of DFT.

Computed properties:
ρ, g/cm3: 16.51
Electronic total energy, eV per atom: -11.9837
Formation energy from the elements, eV/atom: 0.094

Cell and atoms, written as CIF:
```
data_Ta4OsW2
_space_group_name_H-M_alt 'I 4/m m m'
_space_group_IT_number 139
_space_group_name_Hall '-I 4 2'
_cell_length_a 6.361
_cell_length_b 6.361
_cell_length_c 6.371
_cell_angle_alpha 90.00
_cell_angle_beta 90.00
_cell_angle_gamma 90.00
loop_
_atom_site_label
_atom_site_fract_x
_atom_site_fract_y
_atom_site_fract_z
Ta1 0.250 0.250 0.250
Os1 0.000 0.000 0.000
W1 0.000 0.500 0.000
```

---

> What is the formula in the sixth record?

La2Ce3PmSe6